# V3Cr4W (PBE, relaxed)
# D(E_F)	5.3	states/eV/cell
# volume	102	Å³/f.u.
# total magnetization	0.000	μB/atom
# formation energy	-0.0692	eV per atom
# calculated total energy	-9.920	eV per atom
data_V3Cr4W
_chemical_formula_sum 'V3 Cr4 W1'
_cell_length_a 2.9501
_cell_length_b 2.9501
_cell_length_c 11.7627
_cell_angle_alpha 90.00
_cell_angle_beta 90.00
_cell_angle_gamma 90.00
_space_group_name_H-M_alt 'P 4/m m m'
_space_group_IT_number 123
_space_group_name_Hall '-P 4 2'
loop_
_atom_site_label
_atom_site_type_symbol
_atom_site_fract_x
_atom_site_fract_y
_atom_site_fract_z
_atom_site_occupancy
V1 V 0.0000 0.0000 0.0000 1
V2 V 0.0000 0.0000 0.2462 1
Cr1 Cr 0.5000 0.5000 0.1233 1
Cr2 Cr 0.5000 0.5000 0.3695 1
W1 W 0.0000 0.0000 0.5000 1

# TlCdPd (PBE, relaxed)
# D(E_F)	0.9	states/eV/cell
# volume	63	Å³/f.u.
# total magnetization	0.000	μB/atom
# formation energy	-0.0450	eV per atom
# calculated total energy	-2.870	eV per atom
data_TlCdPd
_chemical_formula_sum 'Tl1 Cd1 Pd1'
_cell_length_a 4.8009
_cell_length_b 4.8009
_cell_length_c 3.1580
_cell_angle_alpha 90.00
_cell_angle_beta 90.00
_cell_angle_gamma 120.00
_space_group_name_H-M_alt 'P 3 m 1'
_space_group_IT_number 156
loop_
_space_group_symop_operation_xyz
'x,y,z'
'-y,x-y,z'
'-x+y,-x,z'
'-y,-x,z'
'-x+y,y,z'
'x,x-y,z'
loop_
_atom_site_label
_atom_site_type_symbol
_atom_site_fract_x
_atom_site_fract_y
_atom_site_fract_z
_atom_site_occupancy
Tl1 Tl 0.0000 0.0000 0.0000 1
Cd1 Cd 0.3333 0.6667 0.5525 1
Pd1 Pd 0.6667 0.3333 0.1528 1